The following is a GGA+U calculation of a geometry-optimized MnMoOsO6 structure, from Alexandria via LeMat-Bulk.

Geometry as CIF:
```
data_MnMoOsO6
_cell_length_a 5.003
_cell_length_b 5.003
_cell_length_c 9.566
_cell_angle_alpha 90.00
_cell_angle_beta 90.00
_cell_angle_gamma 120.00
_space_group_name_H-M_alt 'P 1'
_space_group_IT_number 1
_space_group_name_Hall 'P 1'
loop_
_atom_site_label
_atom_site_type_symbol
_atom_site_fract_x
_atom_site_fract_y
_atom_site_fract_z
Mn1 Mn 0.000 0.000 0.000
Mn2 Mn 0.000 0.000 0.500
Mo1 Mo 0.333 0.667 0.250
Mo2 Mo 0.667 0.333 0.750
Os1 Os 0.333 0.667 0.750
Os2 Os 0.667 0.333 0.250
O1 O 0.001 0.340 0.131
O2 O 0.001 0.661 0.369
O3 O 0.339 0.340 0.369
O4 O 0.339 0.999 0.131
O5 O 0.340 0.001 0.631
O6 O 0.340 0.339 0.869
O7 O 0.660 0.661 0.131
O8 O 0.660 0.999 0.369
O9 O 0.661 0.001 0.869
O10 O 0.661 0.660 0.631
O11 O 0.999 0.339 0.631
O12 O 0.999 0.660 0.869
```

Calculated values
The total DFT energy (no corrections) comes out at -134.6 eV/cell. For the density of states at the Fermi level, the calculation gives 2.12 states/eV/f.u. As for the magnetization: 5.95 μB per cell.